(1)
Material: TlAu2I
Method: DFT, PBE
State: optimized geometry

Cell lengths 7.9379, 7.9379, 6.5670 Å; angles 52.82, 52.82, 90.00 degrees
Closest atoms and distances in Å follow each position.
Sites, in units of the cell vectors:
Au 0.3750 0.3704 0.7500  2 Tl 2.91, 2 I 2.96
I 0.2500 0.7500 0.5000  4 Au 2.96
Au 0.6296 0.1250 0.2500  2 Tl 2.91, 2 I 2.96
Tl 0.0000 0.0000 0.0000  4 Au 2.91
Tl 0.7500 0.2500 0.5000  4 Au 2.91
Au 0.8750 0.8796 0.7500  2 Tl 2.91, 2 I 2.96
Au 0.1204 0.6250 0.2500  2 Tl 2.91, 2 I 2.96
I 0.5000 0.5000 0.0000  4 Au 2.96

Symmetry = I-42d, No. 122
Crystal system = tetragonal
Mass density = 11.21 g/cm3
Calculated total energy = -19.58 eV for the cell shown
Formation energy (no corrections) = 171 meV/atom

***

(2)
Material: Tl2AuI
Method: DFT, PBE
State: optimized geometry

Cell lengths 4.6782, 4.6782, 7.7354 Å; angles 72.40, 72.40, 60.00 degrees
Closest atoms and distances in Å follow each position.
Sites, in units of the cell vectors:
Tl 0.2666 0.2666 0.2002  3 Au 3.07
Tl 0.7334 0.7334 0.7998  3 Au 3.07
I 0.5000 0.5000 0.5000  6 Tl 3.47
Au 0.0000 0.0000 0.0000  6 Tl 3.07

Symmetry = R-3m, No. 166
Crystal system = trigonal
Mass density = 8.86 g/cm3
Calculated total energy = -10.53 eV for the cell shown
Formation energy (no corrections) = -244 meV/atom

***

Across the entries above, N(E_F) takes the values 0.3077, 0.1811 states/eV/atom, respectively.